Record 1
PBE NbIrPd2, relaxed; E_form = -42 meV/atom; density = 13.05 g/cm³; ΔE to the lowest computed polymorph = 0.350 eV per atom; space-group type = Fm-3m (225); density of states at the Fermi level = 3.068 states/eV per cell
1.0
-2.8589 -3.3048 -0.9642
-3.9920 0.9452 -1.7875
-0.8470 -1.0522 -4.2662
Nb Pd Ir
1 2 1
Direct
0.0000 0.0000 0.0000
0.2500 0.2500 0.2500
0.7500 0.7500 0.7500
0.5000 0.5000 0.5000



Record 2
PBE HfAs3F, relaxed; raw formation energy = 5 kJ/mol of formula units; density = 5.31 g/cm³; ΔE to the lowest computed polymorph = 0.094 eV per atom; space-group type = Pm-3m (221); density of states at the Fermi level = 2.045 states/eV per cell
1.0
-2.7319 3.1077 2.9673
-3.2170 0.8517 -3.8538
-2.8484 -3.9424 1.5065
F Hf As
1 1 3
Direct
0.5000 0.5000 0.5000
0.0000 0.0000 0.0000
0.0000 0.5000 0.0000
0.5000 0.0000 0.0000
0.0000 0.0000 0.5000



Record 3
PBE Mn2NbS2, relaxed; raw formation energy = -12 kJ/mol of formula units; density = 6.62 g/cm³; ΔE to the lowest computed polymorph = 0.000 eV per atom; space-group type = I4/mmm (139); density of states at the Fermi level = 5.068 states/eV per cell
1.0
4.0424 0.0000 0.0000
0.0000 4.0424 0.0000
2.0212 2.0212 4.0946
Nb Mn S
1 2 2
Direct
0.0000 0.0000 0.0000
0.3648 0.3648 0.2703
0.6352 0.6352 0.7297
0.7500 0.2500 0.5000
0.2500 0.7500 0.5000



Record 4
PBE TaTe2Mo, relaxed; raw formation energy = 286 kJ/mol of formula units; density = 10.62 g/cm³; ΔE to the lowest computed polymorph = 0.923 eV per atom; space-group type = Pmmm (47); density of states at the Fermi level = 4.575 states/eV per cell
1.0
3.3971 0.0000 0.0000
0.0000 5.4923 0.0000
0.0000 0.0000 4.4595
Te Ta Mo
2 1 1
Direct
0.5000 0.5000 0.0000
0.0000 0.0000 0.0000
0.0000 0.5000 0.5000
0.5000 0.0000 0.5000



Record 5
PBE Sr2Sc2Ta, relaxed; E_form = 1133 meV/atom; density = 4.99 g/cm³; ΔE to the lowest computed polymorph = 0.437 eV per atom; space-group type = I4/mmm (139); density of states at the Fermi level = 4.887 states/eV per cell
1.0
4.2220 0.0000 0.0000
0.0000 4.2220 0.0000
2.1110 2.1110 8.3248
Sr Ta Sc
2 1 2
Direct
0.7500 0.2500 0.5000
0.2500 0.7500 0.5000
0.0000 0.0000 0.0000
0.5804 0.5804 0.8391
0.4196 0.4196 0.1609



Record 6
PBE KNpSn2O8, relaxed; raw formation energy = -2104 kJ/mol of formula units; density = 6.00 g/cm³; space-group type = P2/m (10); density of states at the Fermi level = 3.295 states/eV per cell
1.0
5.1933 0.0648 -0.0037
0.1192 5.1807 -0.0060
0.0049 0.0078 6.6030
O Sn K Np
8 2 1 1
Direct
0.3309 0.3281 0.5000
0.1972 0.8011 0.8027
0.3163 0.3146 0.0000
0.6691 0.6719 0.5000
0.8028 0.1990 0.8027
0.1972 0.8010 0.1973
0.8028 0.1989 0.1973
0.6837 0.6854 0.0000
0.5000 0.5000 0.7481
0.5000 0.5000 0.2519
0.0000 0.0000 0.5000
0.0000 0.0000 0.0000



Record 7
PBE Al3GeOs, relaxed; E_form = 1319 meV/atom; density = 5.83 g/cm³; ΔE to the lowest computed polymorph = 1.008 eV per atom; space-group type = Pm-3m (221); density of states at the Fermi level = 3.718 states/eV per cell
1.0
4.6092 0.0000 0.0000
0.0000 4.6092 0.0000
0.0000 0.0000 4.6092
Os Al Ge
1 3 1
Direct
0.5000 0.5000 0.5000
0.5000 0.0000 0.0000
0.0000 0.5000 0.0000
0.0000 0.0000 0.5000
0.0000 0.0000 0.0000



Record 8
PBE BaTc2Os, relaxed; E_form = 1440 meV/atom; density = 11.84 g/cm³; ΔE to the lowest computed polymorph = 0.731 eV per atom; space-group type = P4/mmm (123); density of states at the Fermi level = 7.274 states/eV per cell
1.0
-2.8640 -3.9506 0.6267
3.8567 -2.9278 -0.8694
0.6607 -0.0091 2.9619
Ba Tc Os
1 2 1
Direct
0.5000 0.0000 0.5000
0.5000 0.5000 0.0000
0.0000 0.0000 0.0000
0.0000 0.5000 0.5000



Record 9
PBE LaAg2As, relaxed; E_form = -489 meV/atom; density = 7.47 g/cm³; space-group type = Pm (6); density of states at the Fermi level = 0.806 states/eV per cell
1.0
4.1277 0.0000 0.0000
0.0000 4.1294 0.0188
0.0000 1.9464 5.6129
Ag La As
2 1 1
Direct
0.0000 0.0186 0.0839
0.5000 0.4555 0.2084
0.5000 0.7341 0.6656
0.0000 0.2917 0.5421



Record 10
PBE La2Ag2Hg, relaxed; E_form = -204 meV/atom; density = 8.25 g/cm³; space-group type = I4/mmm (139); density of states at the Fermi level = 3.189 states/eV per cell
1.0
3.8992 0.0000 0.0000
0.0000 3.8992 0.0000
1.9496 1.9496 9.1928
La Ag Hg
2 2 1
Direct
0.6068 0.6068 0.7864
0.3932 0.3932 0.2136
0.7500 0.2500 0.5000
0.2500 0.7500 0.5000
0.0000 0.0000 0.0000



Record 11
PBE Tb2Hf3Pt4, relaxed; E_form = -1082 meV/atom; density = 14.20 g/cm³; space-group type = P2_1/c (14); density of states at the Fermi level = 17.255 states/eV per cell
1.0
-3.5393 -5.2043 -4.7563
3.0273 -3.2981 5.5607
-6.1536 0.7284 3.7821
Hf Pt Tb
6 8 4
Direct
0.5000 0.5000 0.0000
0.7483 0.7510 0.3510
0.2517 0.2490 0.6490
0.0000 0.5000 0.5000
0.7517 0.2490 0.8510
0.2483 0.7510 0.1490
0.1226 0.9006 0.4464
0.6192 0.4865 0.6433
0.6226 0.9006 0.0536
0.3808 0.5135 0.3567
0.1192 0.4865 0.8567
0.8774 0.0994 0.5536
0.8808 0.5135 0.1433
0.3774 0.0994 0.9464
0.5862 0.1947 0.3296
0.4138 0.8053 0.6704
0.0862 0.1947 0.1704
0.9138 0.8053 0.8296



Record 12
PBE BaNaLi2In, relaxed; E_form = -32 meV/atom; density = 2.85 g/cm³; space-group type = P4/mmm (123); density of states at the Fermi level = 2.860 states/eV per cell
1.0
-2.2454 -3.2770 -3.6788
-0.9292 -3.6887 3.8529
-5.1422 2.3693 1.0282
In Ba Na Li
1 1 1 2
Direct
0.0000 0.0000 0.0000
0.5000 0.5000 0.5000
0.0000 0.0000 0.5000
0.0000 0.5000 0.0000
0.5000 0.0000 0.0000